{"formula": "CoTcP2", "functional": "PBE", "state": "relaxed", "lattice_angstrom": [[-3.013, -0.653, -0.392], [0.690, -1.666, -2.531], [0.530, -4.182, 2.897]], "species": ["Co", "Tc", "P", "P"], "frac_coords": [[0.500, 0.500, 0.833], [0.000, 0.000, 0.455], [0.000, 0.000, 0.948], [0.500, 0.500, 0.264]], "delta_e_f_kj_per_mol_fu": -154, "n_ef_per_ev_fu": 1.30, "polymorph_energy_mev_per_atom": 0.0, "final_energy_ha_per_atom": -0.2746}

=====

{"formula": "Co2Tc4P", "functional": "PBE", "state": "relaxed", "lattice_angstrom": [[-1.829, 2.753, 2.799], [-1.811, -3.332, 2.093], [2.917, -0.679, 5.925]], "species": ["P", "Co", "Co", "Tc", "Tc", "Tc", "Tc"], "frac_coords": [[0.000, 0.000, 0.000], [0.619, 0.619, 0.762], [0.381, 0.381, 0.238], [0.809, 0.809, 0.382], [0.191, 0.191, 0.618], [0.000, 0.500, 0.000], [0.500, 0.000, 0.000]], "delta_e_f_kj_per_mol_fu": 580, "n_ef_per_ev_fu": 8.34, "final_energy_ha_per_atom": -0.2891}

=====

{"formula": "CoTc2P", "functional": "PBE", "state": "relaxed", "lattice_angstrom": [[-2.952, 1.991, -1.168], [0.008, -1.400, -2.406], [-3.095, -4.276, 0.532]], "species": ["Co", "P", "Tc", "Tc"], "frac_coords": [[0.500, 0.250, 0.250], [0.500, 0.750, 0.750], [0.000, 0.874, 0.992], [0.000, 0.626, 0.508]], "delta_e_f_kj_per_mol_fu": -18, "n_ef_per_ev_fu": 4.52, "final_energy_ha_per_atom": -0.3072}

=====

{"formula": "CoTcP2", "functional": "PBE", "state": "relaxed", "lattice_angstrom": [[5.161, 0.000, 0.000], [0.000, 5.161, 0.000], [2.580, 2.580, 5.034]], "species": ["P", "P", "P", "P", "Co", "Co", "Tc", "Tc"], "frac_coords": [[0.603, 0.125, 0.250], [0.147, 0.625, 0.250], [0.375, 0.397, 0.750], [0.875, 0.853, 0.750], [0.500, 0.500, 0.000], [0.250, 0.750, 0.500], [0.000, 0.000, 0.000], [0.750, 0.250, 0.500]], "delta_e_f_kj_per_mol_fu": -49, "n_ef_per_ev_fu": 2.94, "polymorph_energy_mev_per_atom": 270.9, "final_energy_ha_per_atom": -0.2646}

=====

Number 1: M_tot 0.0 μB per formula unit. Number 2: M_tot 3.8 μB per formula unit. Number 3: M_tot 1.0 μB per formula unit. Number 4: M_tot 0.0 μB per formula unit.